No. 1
Below is HgSb2Rh after structural relaxation, with properties calculated at the PBE level.

Calculated values
Total moment   0.0 μB/cell
Formation energy (no corrections)   0.205 eV per atom

Cell lengths 6.1026, 8.0117, 3.5747 Å; angles 90.00, 90.00, 90.00 degrees
Space group Cmmm (No. 65)
Inequivalent atoms, fractional coordinates:
Hg (0.0000, 0.0000, 0.0000)
Sb (0.2500, 0.2500, 0.5000)
Rh (0.0000, 0.5000, 0.0000)

No. 2
Below is Hg4SbRh after structural relaxation, with properties calculated at the PBE level.

Calculated values
Total moment   0.0 μB/cell
Formation energy (no corrections)   0.476 eV per atom

Cell lengths 8.1387, 8.1387, 8.1387 Å; angles 90.00, 90.00, 90.00 degrees
Space group F-43m (No. 216)
Inequivalent atoms, fractional coordinates:
Hg (0.1245, 0.1245, 0.1245)
Sb (0.0000, 0.0000, 0.5000)
Rh (0.2500, 0.2500, 0.7500)

No. 3
Below is HgSb12Rh4 after structural relaxation, with properties calculated at the PBE level.

Calculated values
Total moment   0.0 μB/cell
Formation energy (no corrections)   -0.376 eV per atom

Cell lengths 9.4056, 9.4056, 9.4056 Å; angles 90.00, 90.00, 90.00 degrees
Space group Im-3 (No. 204)
Inequivalent atoms, fractional coordinates:
Hg (0.0000, 0.0000, 0.0000)
Sb (0.0000, 0.3399, 0.1551)
Rh (0.2500, 0.2500, 0.2500)

No. 4
Below is HgSb2Rh after structural relaxation, with properties calculated at the PBE level.

Calculated values
Total moment   0.0 μB/cell
Formation energy (no corrections)   -0.153 eV per atom

Cell lengths 3.8579, 3.8579, 22.7863 Å; angles 90.00, 90.00, 120.00 degrees
Space group R-3m (No. 166, hexagonal axes)
Inequivalent atoms, fractional coordinates:
Hg (0.0000, 0.0000, 0.0000)
Sb (0.0000, 0.0000, 0.2314)
Rh (0.0000, 0.0000, 0.5000)

No. 5
Below is HgSb2Rh after structural relaxation, with properties calculated at the PBE level.

Calculated values
Total moment   0.0 μB/cell
Formation energy (no corrections)   0.252 eV per atom

Cell lengths 4.4073, 4.4073, 8.9846 Å; angles 90.00, 90.00, 90.00 degrees
Space group I-4m2 (No. 119)
Inequivalent atoms, fractional coordinates:
Hg (0.0000, 0.0000, 0.0000)
Sb (0.0000, 0.0000, 0.5000)
Sb (0.0000, 0.5000, 0.2500)
Rh (0.0000, 0.5000, 0.7500)

No. 6
Below is HgSbRh3 after structural relaxation, with properties calculated at the PBE level.

Calculated values
Total moment   0.0 μB/cell
Formation energy (no corrections)   0.750 eV per atom

Cell lengths 4.8287, 4.8287, 4.8287 Å; angles 90.00, 90.00, 90.00 degrees
Space group Pm-3m (No. 221)
Inequivalent atoms, fractional coordinates:
Hg (0.0000, 0.0000, 0.0000)
Sb (0.5000, 0.5000, 0.5000)
Rh (0.0000, 0.5000, 0.5000)

No. 7
Below is Hg2SbRh2 after structural relaxation, with properties calculated at the PBE level.

Calculated values
Total moment   0.0 μB/cell
Formation energy (no corrections)   0.006 eV per atom

Cell lengths 6.8014, 6.8014, 4.2282 Å; angles 90.00, 90.00, 90.00 degrees
Space group P4/mbm (No. 127)
Inequivalent atoms, fractional coordinates:
Hg (0.1539, 0.3461, 0.0000)
Sb (0.0000, 0.0000, 0.5000)
Rh (0.1499, 0.6499, 0.5000)

No. 8
Below is HgSb2Rh after structural relaxation, with properties calculated at the PBE level.

Calculated values
Total moment   0.0 μB/cell
Formation energy (no corrections)   -0.137 eV per atom

Cell lengths 5.4130, 11.1592, 3.2932 Å; angles 90.00, 90.00, 90.00 degrees
Space group Cmmm (No. 65)
Inequivalent atoms, fractional coordinates:
Hg (0.0000, 0.0000, 0.0000)
Sb (0.0000, 0.3139, 0.5000)
Rh (0.0000, 0.5000, 0.0000)

No. 9
Below is Hg3SbRh after structural relaxation, with properties calculated at the PBE level.

Calculated values
Total moment   0.0 μB/cell
Formation energy (no corrections)   0.473 eV per atom

Cell lengths 5.1843, 5.1843, 5.1843 Å; angles 90.00, 90.00, 90.00 degrees
Space group Pm-3m (No. 221)
Inequivalent atoms, fractional coordinates:
Hg (0.0000, 0.0000, 0.5000)
Sb (0.5000, 0.5000, 0.5000)
Rh (0.0000, 0.0000, 0.0000)

No. 10
Below is HgSb2Rh after structural relaxation, with properties calculated at the PBE level.

Calculated values
Total moment   0.0 μB/cell
Formation energy (no corrections)   -0.008 eV per atom

Cell lengths 3.1979, 3.1979, 8.8063 Å; angles 90.00, 90.00, 90.00 degrees
Space group P4mm (No. 99)
Inequivalent atoms, fractional coordinates:
Hg (0.0000, 0.0000, 0.0000)
Sb (0.0000, 0.0000, 0.3901)
Sb (0.5000, 0.5000, 0.7081)
Rh (0.5000, 0.5000, 0.2188)

No. 11
Below is HgSb2Rh after structural relaxation, with properties calculated at the PBE level.

Calculated values
Total moment   0.0 μB/cell
Formation energy (no corrections)   -0.036 eV per atom

Cell lengths 3.3293, 4.0776, 14.4162 Å; angles 90.00, 90.00, 90.00 degrees
Space group Imm2 (No. 44)
Inequivalent atoms, fractional coordinates:
Hg (0.0000, 0.0000, 0.0000)
Sb (0.0000, 0.0000, 0.3666)
Sb (0.0000, 0.5000, 0.1675)
Rh (0.0000, 0.5000, 0.7247)

No. 12
Below is HgSb4Rh after structural relaxation, with properties calculated at the PBE level.

Calculated values
Total moment   3.7 μB/cell
Formation energy (no corrections)   0.648 eV per atom

Cell lengths 8.6701, 8.6701, 8.6701 Å; angles 90.00, 90.00, 90.00 degrees
Space group F-43m (No. 216)
Inequivalent atoms, fractional coordinates:
Hg (0.0000, 0.0000, 0.0000)
Sb (0.1266, 0.1266, 0.3734)
Rh (0.2500, 0.2500, 0.7500)

No. 13
Below is HgSbRh4 after structural relaxation, with properties calculated at the PBE level.

Calculated values
Total moment   0.0 μB/cell
Formation energy (no corrections)   0.206 eV per atom

Cell lengths 7.4669, 7.4669, 7.4669 Å; angles 90.00, 90.00, 90.00 degrees
Space group F-43m (No. 216)
Inequivalent atoms, fractional coordinates:
Hg (0.0000, 0.0000, 0.0000)
Sb (0.2500, 0.2500, 0.2500)
Rh (0.1251, 0.1251, 0.6251)

No. 14
Below is HgSb2Rh after structural relaxation, with properties calculated at the PBE level.

Calculated values
Total moment   0.0 μB/cell
Formation energy (no corrections)   -0.073 eV per atom

Cell lengths 10.3010, 3.1864, 6.3350 Å; angles 90.00, 112.50, 90.00 degrees
Space group Cm (No. 8)
Inequivalent atoms, fractional coordinates:
Hg (0.0000, 0.0000, 0.0000)
Sb (0.1509, 0.5000, 0.6345)
Sb (0.3450, 0.5000, 0.3744)
Rh (0.2672, 0.0000, 0.0041)

No. 15
Below is HgSbRh2Se after structural relaxation, with properties calculated at the PBE level.

Calculated values
Total moment   1.2 μB/cell
Formation energy (no corrections)   0.916 eV per atom

Cell lengths 4.9246, 4.9246, 5.3664 Å; angles 90.00, 90.00, 90.00 degrees
Space group P4/mmm (No. 123)
Inequivalent atoms, fractional coordinates:
Hg (0.0000, 0.0000, 0.0000)
Sb (0.0000, 0.0000, 0.5000)
Rh (0.0000, 0.5000, 0.5000)
Se (0.5000, 0.5000, 0.0000)

No. 16
Below is Si2HgSbRh after structural relaxation, with properties calculated at the PBE level.

Calculated values
Total moment   0.7 μB/cell
Formation energy (no corrections)   1.566 eV per atom

Cell lengths 5.1240, 5.1240, 5.3468 Å; angles 90.00, 90.00, 90.00 degrees
Space group P4/mmm (No. 123)
Inequivalent atoms, fractional coordinates:
Si (0.0000, 0.5000, 0.0000)
Hg (0.0000, 0.0000, 0.5000)
Sb (0.0000, 0.0000, 0.0000)
Rh (0.5000, 0.5000, 0.5000)

No. 17
Below is TcHgSb2Rh after structural relaxation, with properties calculated at the PBE level.

Calculated values
Total moment   3.9 μB/cell
Formation energy (no corrections)   1.642 eV per atom

Cell lengths 5.3669, 5.3669, 5.0012 Å; angles 90.00, 90.00, 90.00 degrees
Space group P4/mmm (No. 123)
Inequivalent atoms, fractional coordinates:
Tc (0.0000, 0.0000, 0.0000)
Hg (0.5000, 0.5000, 0.5000)
Sb (0.0000, 0.5000, 0.5000)
Rh (0.5000, 0.5000, 0.0000)

No. 18
Below is TcHgSb2Rh after structural relaxation, with properties calculated at the PBE level.

Calculated values
Total moment   0.0 μB/cell
Formation energy (no corrections)   0.679 eV per atom

Cell lengths 5.1149, 5.1149, 4.8547 Å; angles 90.00, 90.00, 90.00 degrees
Space group P4/mmm (No. 123)
Inequivalent atoms, fractional coordinates:
Tc (0.0000, 0.0000, 0.0000)
Hg (0.5000, 0.5000, 0.5000)
Sb (0.0000, 0.5000, 0.0000)
Rh (0.0000, 0.0000, 0.5000)

No. 19
Below is HgSbTe2Rh after structural relaxation, with properties calculated at the PBE level.

Calculated values
Total moment   0.0 μB/cell
Formation energy (no corrections)   0.274 eV per atom

Cell lengths 5.4265, 5.4265, 4.9752 Å; angles 90.00, 90.00, 90.00 degrees
Space group P4/mmm (No. 123)
Inequivalent atoms, fractional coordinates:
Hg (0.0000, 0.0000, 0.0000)
Sb (0.5000, 0.5000, 0.0000)
Te (0.0000, 0.5000, 0.5000)
Rh (0.5000, 0.5000, 0.5000)

No. 20
Below is HgSb2TeRh after structural relaxation, with properties calculated at the PBE level.

Calculated values
Total moment   0.0 μB/cell
Formation energy (no corrections)   0.264 eV per atom

Cell lengths 5.0699, 5.0699, 5.6645 Å; angles 90.00, 90.00, 90.00 degrees
Space group P4/mmm (No. 123)
Inequivalent atoms, fractional coordinates:
Hg (0.0000, 0.0000, 0.0000)
Sb (0.0000, 0.5000, 0.5000)
Te (0.5000, 0.5000, 0.0000)
Rh (0.5000, 0.5000, 0.5000)